Record 1
Mg13Al14: relaxed, PBE-GGA.

Lattice parameters (Å, degrees): 8.8192 8.8192 8.8192 109.47 109.47 109.47
Sites, in units of the cell vectors:
Mg1 0.0000 0.0000 0.0000
Mg2 0.3145 0.6572 0.6572
Mg3 0.3428 0.0000 0.6572
Mg4 0.0000 0.3428 0.6572
Mg5 0.6572 0.3145 0.6572
Mg6 0.6572 0.3428 0.0000
Mg7 0.3428 0.6572 0.0000
Mg8 0.6572 0.0000 0.3428
Mg9 0.3428 0.6855 0.3428
Mg10 0.6855 0.3428 0.3428
Mg11 0.0000 0.6572 0.3428
Mg12 0.3428 0.3428 0.6855
Mg13 0.6572 0.6572 0.3145
Al1 0.0000 0.6555 0.0000
Al2 0.6555 0.6555 0.6555
Al3 0.6555 0.0000 0.0000
Al4 0.0000 0.3445 0.0000
Al5 0.3445 0.0000 0.0000
Al6 0.0000 0.0000 0.3445
Al7 0.3445 0.3445 0.3445
Al8 0.6966 0.6966 0.0000
Al9 0.3034 0.0000 0.3034
Al10 0.6966 0.0000 0.6966
Al11 0.0000 0.6966 0.6966
Al12 0.0000 0.3034 0.3034
Al13 0.3034 0.3034 0.0000
Al14 0.0000 0.0000 0.6555

Computed properties:
The electronic total energy is -2.6506 eV per atom. As for the total magnetization: 0.00 μB/f.u. The calculation puts the formation energy from the elements at 0.058 eV/atom.

Record 2
Ba2MgGa4Au3: relaxed, PBE-GGA.

Lattice parameters (Å, degrees): 4.6428 4.6428 11.0902 90.00 90.00 90.00
Sites, in units of the cell vectors:
Ba1 0.5000 0.0000 0.2431
Ba2 0.0000 0.5000 0.7569
Mg1 0.5000 0.5000 0.5000
Ga1 0.5000 0.5000 0.0000
Ga2 0.0000 0.0000 0.0000
Ga3 0.5000 0.0000 0.6363
Ga4 0.0000 0.5000 0.3637
Au1 0.0000 0.0000 0.5000
Au2 0.5000 0.0000 0.8769
Au3 0.0000 0.5000 0.1231

Computed properties:
The electronic total energy is -3.2612 eV per atom. As for the total magnetization: 0.00 μB/f.u. The calculation puts the formation energy from the elements at -0.523 eV/atom.

Record 3
K2ThCuSe4: relaxed, PBE-GGA.

Lattice parameters (Å, degrees): 8.3666 8.3666 8.7778 114.58 114.58 90.02
Sites, in units of the cell vectors:
K1 0.5000 0.0000 0.0000
K2 0.5000 0.0000 0.5000
K3 0.0000 0.0000 0.5000
K4 0.5000 0.5000 0.0000
Th1 0.0000 0.5000 0.0000
Th2 0.0000 0.5000 0.5000
Cu1 0.5000 0.5000 0.5000
Cu2 0.0000 0.0000 0.0000
Se1 0.1759 0.7339 0.9162
Se2 0.7661 0.3241 0.5838
Se3 0.2339 0.6759 0.4162
Se4 0.8241 0.2661 0.0838
Se5 0.8252 0.8019 0.0471
Se6 0.6981 0.6748 0.4529
Se7 0.3019 0.3252 0.5471
Se8 0.1748 0.1981 0.9529

Computed properties:
Its energy relative to the elements, uncorrected is -1043.1 meV per atom. The electronic total energy is -4.4993 eV per atom. As for the total magnetization: 0.74 μB/f.u.

Record 4
Rb2RePt: relaxed, PBE-GGA.

Lattice parameters (Å, degrees): 5.7461 5.7461 5.7461 60.00 60.00 60.00
Sites, in units of the cell vectors:
Re1 0.0000 0.0000 0.0000
Rb1 0.2500 0.2500 0.2500
Rb2 0.7500 0.7500 0.7500
Pt1 0.5000 0.5000 0.5000

Computed properties:
The electronic total energy is -3.3687 eV per atom. The relative energy among the computed polymorphs is 0.673 eV/atom. As for the total magnetization: 5.00 μB/f.u. The calculation puts the formation energy from the elements at 1.737 eV/atom.

Record 5
YTcAu2: relaxed, PBE-GGA.

Lattice parameters (Å, degrees): 4.0837 4.0837 10.4339 78.71 78.71 90.00
Sites, in units of the cell vectors:
Y1 0.5000 0.5000 0.0000
Y2 0.2500 0.7500 0.5000
Au1 0.6431 0.1250 0.2500
Au2 0.1069 0.6250 0.2500
Au3 0.3750 0.3569 0.7500
Au4 0.8750 0.8931 0.7500
Tc1 0.0000 0.0000 0.0000
Tc2 0.7500 0.2500 0.5000

Computed properties:
The electronic total energy is -5.5904 eV per atom. The relative energy among the computed polymorphs is 0.438 eV/atom. As for the total magnetization: 1.34 μB/f.u. The calculation puts the formation energy from the elements at 0.256 eV/atom.

Record 6
IrRhW2: relaxed, PBE-GGA.

Lattice parameters (Å, degrees): 4.7792 4.7792 4.8576 80.50 80.50 33.93
Sites, in units of the cell vectors:
Ir1 0.4979 0.4979 0.5168
Rh1 0.2515 0.2515 0.2329
W1 0.9980 0.9980 0.0248
W2 0.7526 0.7526 0.7254

Computed properties:
The electronic total energy is -10.6676 eV per atom. The relative energy among the computed polymorphs is 0.096 eV/atom. As for the total magnetization: 0.00 μB/f.u. The calculation puts the formation energy from the elements at -0.138 eV/atom.